Here is a geometry-optimized Y2PaSb structure from Alexandria via LeMat-Bulk. Energies are from PBE-GGA.

Output
Its space group is P4/mmm. As for the volume: 26.51 Å³/atom. As for the calculated total energy: -27.6 eV per cell. The mass density is 8.31 g/cm³. The value obtained for the formation energy (no corrections) is -272.6 meV per atom.

Lattice parameters (Å, degrees): 4.8528 4.8528 4.5030 90.00 90.00 90.00
Fractional coordinates of all 4 atoms:
1 Y 0.0000 0.5000 0.0000
2 Y 0.5000 0.0000 0.0000
3 Pa 0.0000 0.0000 0.5000
4 Sb 0.5000 0.5000 0.5000